Record 1
{
  "formula": "Ce2AlSiPd6",
  "functional": "PBE-GGA",
  "state": "relaxed",
  "cell": [[6.657, -0.286, -0.338], [-0.439, 6.851, 1.292], [2.850, 4.236, 4.859]],
  "species": ["Al", "Pd", "Pd", "Pd", "Pd", "Pd", "Pd", "Si", "Ce", "Ce"],
  "frac_coords": [[0.500, 0.500, 0.000], [0.369, 0.363, 0.466], [0.631, 0.637, 0.534], [0.895, 0.734, 0.902], [0.260, 0.754, 0.004], [0.105, 0.266, 0.098], [0.740, 0.246, 0.996], [0.000, 0.000, 0.000], [0.766, 0.212, 0.577], [0.234, 0.788, 0.423]],
  "e_form_raw_kj_per_mol_atoms": -64.72
}

***

Record 2
{
  "formula": "CeAlSiPd",
  "functional": "PBE-GGA",
  "state": "relaxed",
  "cell": [[-2.502, -3.322, 0.458], [-0.807, -1.500, 3.822], [-5.242, 1.561, 1.797]],
  "species": ["Al", "Ce", "Pd", "Si"],
  "frac_coords": [[0.594, 0.594, 0.218], [0.803, 0.803, 0.591], [0.311, 0.311, 0.066], [0.018, 0.018, 0.947]],
  "e_form_raw_kj_per_mol_atoms": -69.80
}

***

Record 3
{
  "formula": "CeSmAlPd",
  "functional": "PBE-GGA",
  "state": "relaxed",
  "cell": [[-2.597, 3.546, -2.719], [-2.077, -1.254, -4.563], [-5.132, -0.368, -0.490]],
  "species": ["Al", "Ce", "Sm", "Pd"],
  "frac_coords": [[0.500, 0.500, 0.500], [0.250, 0.250, 0.250], [0.750, 0.750, 0.750], [0.000, 0.000, 0.000]],
  "formation_energy_kj_per_mol_atoms": -40
}

***

Record 4
{
  "formula": "Ce2Al4SnPd3",
  "functional": "PBE-GGA",
  "state": "relaxed",
  "cell": [[4.308, 0.000, 0.000], [0.000, 4.308, 0.000], [0.000, 0.000, 10.813]],
  "species": ["Al", "Al", "Al", "Al", "Sn", "Ce", "Ce", "Pd", "Pd", "Pd"],
  "frac_coords": [[0.500, 0.000, 0.650], [0.000, 0.500, 0.350], [0.500, 0.500, 0.000], [0.000, 0.000, 0.000], [0.500, 0.500, 0.500], [0.500, 0.000, 0.238], [0.000, 0.500, 0.762], [0.000, 0.500, 0.125], [0.500, 0.000, 0.875], [0.000, 0.000, 0.500]],
  "formation_energy_kj_per_mol_atoms": -68
}

***

Record 5
{
  "formula": "Ce2Al3SnPd4",
  "functional": "PBE-GGA",
  "state": "relaxed",
  "cell": [[4.342, 0.000, 0.000], [0.000, 4.342, 0.000], [0.000, 0.000, 10.602]],
  "species": ["Al", "Al", "Al", "Pd", "Pd", "Pd", "Pd", "Ce", "Ce", "Sn"],
  "frac_coords": [[0.000, 0.000, 0.500], [0.000, 0.500, 0.121], [0.500, 0.000, 0.879], [0.500, 0.000, 0.646], [0.500, 0.500, 0.000], [0.000, 0.500, 0.354], [0.000, 0.000, 0.000], [0.500, 0.000, 0.246], [0.000, 0.500, 0.754], [0.500, 0.500, 0.500]],
  "formation_energy_kj_per_mol_atoms": -75
}

***

Record 6
{
  "formula": "CeYAlPd",
  "functional": "PBE-GGA",
  "state": "relaxed",
  "cell": [[-4.816, -0.069, -1.745], [-3.564, -2.766, 2.426], [-3.712, 2.350, 2.633]],
  "species": ["Y", "Pd", "Al", "Ce"],
  "frac_coords": [[0.750, 0.750, 0.750], [0.500, 0.500, 0.500], [0.000, 0.000, 0.000], [0.250, 0.250, 0.250]],
  "formation_energy_kj_per_mol_atoms": -44
}

***

Record 7
{
  "formula": "CeY2Al3Pd3",
  "functional": "PBE-GGA",
  "state": "relaxed",
  "cell": [[-3.896, 0.448, 6.076], [5.524, -4.656, -0.315], [2.470, 2.838, 1.374]],
  "species": ["Al", "Al", "Al", "Pd", "Pd", "Pd", "Y", "Y", "Ce"],
  "frac_coords": [[0.761, 0.004, 0.000], [0.004, 0.761, 0.000], [0.233, 0.233, 0.000], [0.341, 0.667, 0.000], [0.997, 0.997, 0.500], [0.667, 0.341, 0.000], [0.416, 0.001, 0.500], [0.001, 0.416, 0.500], [0.580, 0.580, 0.500]],
  "formation_energy_kj_per_mol_atoms": -81
}

***

Record 8
{
  "formula": "Ce2YAl3Pd3",
  "functional": "PBE-GGA",
  "state": "relaxed",
  "cell": [[-3.063, -1.923, -6.222], [0.510, -4.682, 5.443], [-3.671, 1.251, 1.421]],
  "species": ["Pd", "Pd", "Pd", "Y", "Al", "Al", "Al", "Ce", "Ce"],
  "frac_coords": [[0.673, 0.333, 0.000], [0.998, 0.998, 0.500], [0.333, 0.673, 0.000], [0.417, 0.417, 0.500], [0.762, 0.762, 0.000], [0.003, 0.234, 0.000], [0.234, 0.003, 0.000], [0.579, 0.001, 0.500], [0.001, 0.579, 0.500]],
  "formation_energy_kj_per_mol_atoms": -78
}

***

Record 9
{
  "formula": "CeYAl2Pd2",
  "functional": "PBE-GGA",
  "state": "relaxed",
  "cell": [[4.101, 0.000, 0.000], [0.000, 7.230, -0.004], [0.000, 0.058, 12.369]],
  "species": ["Pd", "Pd", "Pd", "Pd", "Pd", "Pd", "Al", "Al", "Al", "Al", "Al", "Al", "Ce", "Ce", "Ce", "Y", "Y", "Y"],
  "frac_coords": [[0.500, 0.003, 0.999], [0.000, 0.996, 0.337], [0.500, 0.501, 0.500], [0.000, 0.993, 0.665], [0.000, 0.503, 0.836], [0.000, 0.497, 0.165], [0.000, 0.266, 0.499], [0.000, 0.770, 0.002], [0.000, 0.118, 0.121], [0.000, 0.615, 0.379], [0.000, 0.613, 0.617], [0.000, 0.121, 0.881], [0.500, 0.920, 0.500], [0.500, 0.422, 0.001], [0.500, 0.789, 0.789], [0.500, 0.291, 0.707], [0.500, 0.291, 0.292], [0.500, 0.792, 0.209]],
  "formation_energy_kj_per_mol_atoms": -80
}

***

Record 10
{
  "formula": "CeAl2ZnPd4",
  "functional": "PBE-GGA",
  "state": "relaxed",
  "cell": [[4.287, 0.000, 0.000], [2.144, 3.713, 0.000], [2.144, 1.238, 8.746]],
  "species": ["Al", "Al", "Zn", "Pd", "Pd", "Pd", "Pd", "Ce"],
  "frac_coords": [[0.237, 0.237, 0.289], [0.763, 0.763, 0.711], [0.500, 0.500, 0.500], [0.133, 0.133, 0.602], [0.867, 0.867, 0.398], [0.598, 0.598, 0.205], [0.402, 0.402, 0.795], [0.000, 0.000, 0.000]],
  "formation_energy_kj_per_mol_atoms": -72
}

***

Record 11
{
  "formula": "Ce2AlZn2Pd5",
  "functional": "PBE-GGA",
  "state": "relaxed",
  "cell": [[3.203, 0.000, 0.000], [0.000, 10.582, 0.000], [0.000, 0.000, 10.582]],
  "species": ["Al", "Al", "Zn", "Zn", "Zn", "Zn", "Ce", "Ce", "Ce", "Ce", "Pd", "Pd", "Pd", "Pd", "Pd", "Pd", "Pd", "Pd", "Pd", "Pd"],
  "frac_coords": [[0.000, 0.000, 0.000], [0.000, 0.500, 0.500], [0.000, 0.130, 0.630], [0.000, 0.870, 0.370], [0.000, 0.370, 0.130], [0.000, 0.630, 0.870], [0.000, 0.673, 0.173], [0.000, 0.827, 0.673], [0.000, 0.327, 0.827], [0.000, 0.173, 0.327], [0.500, 0.055, 0.810], [0.500, 0.190, 0.055], [0.500, 0.945, 0.190], [0.500, 0.500, 0.000], [0.500, 0.810, 0.945], [0.500, 0.445, 0.310], [0.500, 0.310, 0.555], [0.500, 0.000, 0.500], [0.500, 0.690, 0.445], [0.500, 0.555, 0.690]],
  "formation_energy_kj_per_mol_atoms": -60
}

***

Record 12
{
  "formula": "CeAl4ZnPd2",
  "functional": "PBE-GGA",
  "state": "relaxed",
  "cell": [[-3.624, -2.288, 0.396], [-0.143, -3.357, 2.689], [-3.932, 3.494, 7.598]],
  "species": ["Zn", "Al", "Al", "Al", "Al", "Pd", "Pd", "Ce"],
  "frac_coords": [[0.500, 0.500, 0.500], [0.402, 0.402, 0.793], [0.873, 0.873, 0.380], [0.127, 0.127, 0.620], [0.598, 0.598, 0.207], [0.234, 0.234, 0.298], [0.766, 0.766, 0.702], [0.000, 0.000, 0.000]],
  "formation_energy_kj_per_mol_atoms": -50
}

***

Record 13
{
  "formula": "Ce2Al3ZnPd4",
  "functional": "PBE-GGA",
  "state": "relaxed",
  "cell": [[4.293, 0.000, 0.000], [0.000, 4.293, 0.000], [0.000, 0.000, 10.430]],
  "species": ["Al", "Al", "Al", "Pd", "Pd", "Pd", "Pd", "Ce", "Ce", "Zn"],
  "frac_coords": [[0.000, 0.000, 0.500], [0.000, 0.500, 0.124], [0.500, 0.000, 0.876], [0.500, 0.000, 0.637], [0.500, 0.500, 0.000], [0.000, 0.500, 0.363], [0.000, 0.000, 0.000], [0.500, 0.000, 0.253], [0.000, 0.500, 0.747], [0.500, 0.500, 0.500]],
  "formation_energy_kj_per_mol_atoms": -72
}

***

Record 14
{
  "formula": "Ce2Al4Zn3Pd",
  "functional": "PBE-GGA",
  "state": "relaxed",
  "cell": [[4.252, 0.000, 0.000], [0.000, 4.252, 0.000], [0.000, 0.000, 10.635]],
  "species": ["Al", "Al", "Al", "Al", "Zn", "Zn", "Zn", "Ce", "Ce", "Pd"],
  "frac_coords": [[0.500, 0.000, 0.629], [0.500, 0.500, 0.000], [0.000, 0.000, 0.000], [0.000, 0.500, 0.371], [0.500, 0.000, 0.862], [0.000, 0.500, 0.138], [0.000, 0.000, 0.500], [0.500, 0.000, 0.252], [0.000, 0.500, 0.748], [0.500, 0.500, 0.500]],
  "formation_energy_kj_per_mol_atoms": -44
}

***

Record 15
{
  "formula": "CePmAl4",
  "functional": "PBE-GGA",
  "state": "relaxed",
  "cell": [[5.644, 0.000, 0.000], [2.822, 4.888, 0.000], [2.822, 1.629, 4.608]],
  "species": ["Al", "Al", "Al", "Al", "Pm", "Ce"],
  "frac_coords": [[0.626, 0.123, 0.626], [0.123, 0.626, 0.626], [0.626, 0.626, 0.123], [0.626, 0.626, 0.626], [0.250, 0.250, 0.250], [0.000, 0.000, 0.000]],
  "formation_energy_kj_per_mol_atoms": -45
}

***

Record 16
{
  "formula": "Ce2PmAl6",
  "functional": "PBE-GGA",
  "state": "relaxed",
  "cell": [[3.585, 0.000, 0.000], [0.000, 6.929, -4.000], [0.000, 0.000, 8.000]],
  "species": ["Ce", "Ce", "Pm", "Al", "Al", "Al", "Al", "Al", "Al"],
  "frac_coords": [[0.000, 0.333, 0.667], [0.000, 0.667, 0.333], [0.000, 0.000, 0.000], [0.500, 0.666, 0.000], [0.500, 0.334, 0.000], [0.500, 0.000, 0.334], [0.500, 0.334, 0.334], [0.500, 0.000, 0.666], [0.500, 0.666, 0.666]],
  "formation_energy_kj_per_mol_atoms": -42
}

***

Record 17
{
  "formula": "Ce4PmAl4",
  "functional": "PBE-GGA",
  "state": "relaxed",
  "cell": [[-3.093, 3.406, -2.433], [-6.068, -6.565, -1.478], [-4.036, 1.958, 7.872]],
  "species": ["Pm", "Pm", "Al", "Al", "Al", "Al", "Al", "Al", "Al", "Al", "Ce", "Ce", "Ce", "Ce", "Ce", "Ce", "Ce", "Ce"],
  "frac_coords": [[0.500, 0.500, 0.500], [0.000, 0.000, 0.000], [0.500, 0.527, 0.143], [0.500, 0.857, 0.527], [0.000, 0.357, 0.027], [0.000, 0.027, 0.643], [0.500, 0.143, 0.473], [0.000, 0.643, 0.973], [0.000, 0.973, 0.357], [0.500, 0.473, 0.857], [0.500, 0.868, 0.185], [0.500, 0.815, 0.868], [0.000, 0.368, 0.685], [0.500, 0.132, 0.815], [0.000, 0.315, 0.368], [0.000, 0.685, 0.632], [0.000, 0.632, 0.315], [0.500, 0.185, 0.132]],
  "formation_energy_kj_per_mol_atoms": -11
}

***

Record 18
{
  "formula": "CePm2Al9",
  "functional": "PBE-GGA",
  "state": "relaxed",
  "cell": [[5.624, 0.000, 0.000], [2.812, 4.871, 0.000], [2.812, 1.624, 8.896]],
  "species": ["Al", "Al", "Al", "Al", "Al", "Al", "Al", "Al", "Al", "Ce", "Pm", "Pm"],
  "frac_coords": [[0.335, 0.335, 0.996], [0.585, 0.076, 0.753], [0.924, 0.415, 0.247], [0.415, 0.924, 0.247], [0.076, 0.585, 0.753], [0.500, 0.500, 0.500], [0.585, 0.585, 0.753], [0.665, 0.665, 0.004], [0.415, 0.415, 0.247], [0.000, 0.000, 0.000], [0.140, 0.140, 0.580], [0.860, 0.860, 0.420]],
  "formation_energy_kj_per_mol_atoms": -37
}

***

Record 19
{
  "formula": "Ce3PmAl8",
  "functional": "PBE-GGA",
  "state": "relaxed",
  "cell": [[5.649, 0.000, 0.000], [-2.825, 4.892, 0.000], [0.000, 0.000, 9.077]],
  "species": ["Ce", "Ce", "Ce", "Al", "Al", "Al", "Al", "Al", "Al", "Al", "Al", "Pm"],
  "frac_coords": [[0.667, 0.333, 0.411], [0.000, 0.000, 0.933], [0.667, 0.333, 0.087], [0.990, 0.495, 0.751], [0.677, 0.838, 0.249], [0.505, 0.495, 0.751], [0.162, 0.323, 0.249], [0.333, 0.667, 0.000], [0.162, 0.838, 0.249], [0.333, 0.667, 0.498], [0.505, 0.010, 0.751], [0.000, 0.000, 0.572]],
  "relative_energy_ev_per_fu": 0.07,
  "formation_energy_kj_per_mol_atoms": -45
}

***

Record 20
{
  "formula": "Ce3PmAl8",
  "functional": "PBE-GGA",
  "state": "relaxed",
  "cell": [[-0.381, -1.081, 5.517], [4.633, 0.044, 3.206], [0.180, 8.594, 4.574]],
  "species": ["Al", "Al", "Al", "Al", "Al", "Al", "Al", "Al", "Ce", "Ce", "Ce", "Pm"],
  "frac_coords": [[0.438, 0.438, 0.188], [0.937, 0.438, 0.188], [0.938, 0.938, 0.687], [0.938, 0.437, 0.687], [0.187, 0.187, 0.438], [0.687, 0.687, 0.938], [0.437, 0.938, 0.687], [0.438, 0.937, 0.188], [0.002, 0.002, 0.995], [0.498, 0.498, 0.506], [0.375, 0.375, 0.874], [0.875, 0.875, 0.375]],
  "relative_energy_ev_per_fu": 0.00,
  "formation_energy_kj_per_mol_atoms": -45
}

***

Record 21
{
  "formula": "Ce4PmAl3",
  "functional": "PBE-GGA",
  "state": "relaxed",
  "cell": [[-2.515, -1.892, -0.892], [1.045, 1.138, -5.362], [6.354, -9.368, 7.955]],
  "species": ["Ce", "Ce", "Ce", "Ce", "Al", "Al", "Al", "Pm"],
  "frac_coords": [[0.622, 0.005, 0.244], [0.378, 0.995, 0.756], [0.853, 0.407, 0.707], [0.147, 0.593, 0.293], [0.756, 0.710, 0.512], [0.000, 0.500, 0.000], [0.244, 0.290, 0.488], [0.500, 0.000, 0.000]],
  "formation_energy_kj_per_mol_atoms": -10
}

***

Record 22
{
  "formula": "CePm7Al4",
  "functional": "PBE-GGA",
  "state": "relaxed",
  "cell": [[5.563, 0.000, 0.000], [2.782, 8.860, 0.348], [2.782, 0.622, 7.056]],
  "species": ["Pm", "Pm", "Pm", "Pm", "Pm", "Pm", "Pm", "Al", "Al", "Al", "Al", "Ce"],
  "frac_coords": [[0.206, 0.119, 0.468], [0.500, 0.000, 0.000], [0.066, 0.609, 0.259], [0.292, 0.652, 0.765], [0.934, 0.391, 0.741], [0.794, 0.881, 0.532], [0.708, 0.348, 0.235], [0.674, 0.668, 0.984], [0.448, 0.759, 0.346], [0.326, 0.332, 0.016], [0.552, 0.241, 0.654], [0.000, 0.000, 0.000]],
  "formation_energy_kj_per_mol_atoms": -6
}